Here is a PBEsol-optimized structure of TiSnBr2 from Alexandria via LeMat-Bulk. Energies are from SCAN.

a = 6.994 Å, b = 6.994 Å, c = 6.994 Å
α = 90.00°, β = 90.00°, γ = 90.00°
Space group Fm-3m (No. 225)
Unique sites:
Ti 0.000 0.000 0.000
Sn 0.000 0.000 0.500
Br 0.250 0.250 0.250

Calculated values
The value obtained for the magnetic moment is 2.9 Bohr magnetons per cell. Its uncorrected formation energy is 8.3 kJ/mol of atoms. The calculation puts the density of states at the Fermi level at 2.300 states/eV/f.u. Its density is 6.34 g cm⁻³.

=====

Here is a PBEsol-optimized structure of AgSb2 from Alexandria via LeMat-Bulk. Energies are from SCAN.

a = 4.9549 Å, b = 4.9549 Å, c = 6.6284 Å
α = 90.00°, β = 90.00°, γ = 120.00°
Space group P6_3/mmc (No. 194)
Unique sites:
Ag 0.3333 0.6667 0.2500
Sb 0.0000 0.0000 0.0000
Sb 0.3333 0.6667 0.7500

Calculated values
The value obtained for the magnetic moment is 0.0 Bohr magnetons per cell. Its uncorrected formation energy is 29.9 kJ/mol of atoms. The calculation puts the density of states at the Fermi level at 1.648 states/eV/f.u. Its density is 8.28 g cm⁻³.

=====

Here is a PBEsol-optimized structure of AlAgP2 from Alexandria via LeMat-Bulk. Energies are from SCAN.

a = 2.714 Å, b = 3.315 Å, c = 6.898 Å
α = 90.00°, β = 90.00°, γ = 90.00°
Space group Pmmm (No. 47)
Unique sites:
Al 0.000 0.000 0.000
Ag 0.000 0.000 0.500
P 0.500 0.500 0.225

Calculated values
The value obtained for the magnetic moment is 0.0 Bohr magnetons per cell. The calculation puts the density of states at the Fermi level at 1.527 states/eV/f.u. Its density is 5.27 g cm⁻³. The formation energy comes out at 0.295 eV per atom.

=====

Here is a PBEsol-optimized structure of TlH2N from Alexandria via LeMat-Bulk. Energies are from SCAN.

a = 5.268 Å, b = 5.268 Å, c = 5.268 Å
α = 90.00°, β = 90.00°, γ = 90.00°
Space group Fm-3m (No. 225)
Unique sites:
Tl 0.000 0.000 0.000
H 0.250 0.250 0.250
N 0.000 0.000 0.500

Calculated values
The value obtained for the magnetic moment is 0.0 Bohr magnetons per cell. The calculation puts the density of states at the Fermi level at 0.963 states/eV/f.u. Its density is 10.01 g cm⁻³.

=====

Here is a PBEsol-optimized structure of CaY3Fe from Alexandria via LeMat-Bulk. Energies are from SCAN.

a = 5.246 Å, b = 5.246 Å, c = 5.246 Å
α = 90.00°, β = 90.00°, γ = 90.00°
Space group Pm-3m (No. 221)
Unique sites:
Ca 0.000 0.000 0.000
Y 0.000 0.500 0.500
Fe 0.500 0.500 0.500

Calculated values
The value obtained for the magnetic moment is 0.1 Bohr magnetons per cell. The calculation puts the density of states at the Fermi level at 2.926 states/eV/f.u. Its density is 4.17 g cm⁻³. The formation energy comes out at 0.097 eV per atom.

=====

Here is a PBEsol-optimized structure of LaB2Rh3 from Alexandria via LeMat-Bulk. Energies are from SCAN.

a = 5.4592 Å, b = 5.4592 Å, c = 3.0930 Å
α = 90.00°, β = 90.00°, γ = 120.00°
Space group P6/mmm (No. 191)
Unique sites:
La 0.0000 0.0000 0.0000
B 0.3333 0.6667 0.0000
Rh 0.0000 0.5000 0.5000

Calculated values
The value obtained for the magnetic moment is 0.0 Bohr magnetons per cell. The calculation puts the density of states at the Fermi level at 3.398 states/eV/f.u. Its density is 9.76 g cm⁻³. The formation energy comes out at -0.767 eV per atom.

=====

| no. | VASP energy (eV/atom) |
| --- | --- |
| 1 | -22.6310 |
| 2 | -34.9859 |
| 3 | -14.6843 |
| 4 | -20.3847 |
| 5 | -22.1675 |
| 6 | -27.3139 |